No. 1
VASP calculation (PBE-GGA) on a relaxed structure of LiPm2Ga7.

Geometry as POSCAR:
```
LiPm2Ga7
1.0
4.2452 0.0000 0.0000
0.0000 4.2452 0.0000
0.0000 0.0000 10.9480
Li Pm Ga
1 2 7
direct
0.0000 0.0000 0.0000 Li
0.0000 0.5000 0.7478 Pm
0.5000 0.0000 0.2522 Pm
0.0000 0.0000 0.5000 Ga
0.0000 0.5000 0.1340 Ga
0.0000 0.5000 0.3593 Ga
0.5000 0.0000 0.6407 Ga
0.5000 0.0000 0.8660 Ga
0.5000 0.5000 0.0000 Ga
0.5000 0.5000 0.5000 Ga
```

Results
Fermi-level density of states = 0.19 states/eV/atom
total moment = 0.00 μB per cell
energy of formation from the pure elements = -478 meV/atom
symmetry = P-4m2

=====

No. 2
VASP calculation (PBE-GGA) on a relaxed structure of Tb2Al3NiPt4.

Geometry as POSCAR:
```
Tb2Al3NiPt4
1.0
4.0766 0.0000 0.0000
0.0000 4.0766 0.0000
0.0000 0.0000 10.9222
Tb Al Ni Pt
2 3 1 4
direct
0.0000 0.5000 0.2378 Tb
0.5000 0.0000 0.7622 Tb
0.0000 0.0000 0.0000 Al
0.0000 0.5000 0.6327 Al
0.5000 0.0000 0.3673 Al
0.5000 0.5000 0.0000 Ni
0.0000 0.0000 0.5000 Pt
0.0000 0.5000 0.8577 Pt
0.5000 0.0000 0.1423 Pt
0.5000 0.5000 0.5000 Pt
```

Results
Fermi-level density of states = 0.53 states/eV/atom
total moment = 0.00 μB per cell
energy of formation from the pure elements = -1008 meV/atom
symmetry = P-4m2

=====

No. 3
VASP calculation (PBE-GGA) on a relaxed structure of Na2CdAg.

Geometry as POSCAR:
```
Na2CdAg
1.0
1.6170 0.9336 11.1009
-1.6170 0.9336 11.1009
0.0000 -1.8671 11.1009
Na Cd Ag
2 1 1
direct
0.0936 0.0936 0.0936 Na
0.9064 0.9064 0.9064 Na
0.0000 0.0000 0.0000 Cd
0.5000 0.5000 0.5000 Ag
```

Results
Fermi-level density of states = 0.47 states/eV/atom
total moment = 0.00 μB per cell
energy of formation from the pure elements = 89 meV/atom
symmetry = R-3m

=====

No. 4
VASP calculation (PBE-GGA) on a relaxed structure of Tm3Hg2Pd3.

Geometry as POSCAR:
```
Tm3Hg2Pd3
1.0
-1.7596 2.4574 9.8246
1.7596 -2.4574 9.8246
1.7596 2.4574 -9.8246
Tm Hg Pd
3 2 3
direct
0.0000 0.0000 0.0000 Tm
0.3731 0.8731 0.5000 Tm
0.6269 0.1269 0.5000 Tm
0.2341 0.2341 0.0000 Hg
0.7659 0.7659 0.0000 Hg
0.1137 0.6137 0.5000 Pd
0.5000 0.5000 0.0000 Pd
0.8863 0.3863 0.5000 Pd
```

Results
Fermi-level density of states = 0.58 states/eV/atom
total moment = 0.00 μB per cell
energy of formation from the pure elements = -707 meV/atom
symmetry = Immm
distance to the lowest polymorph of the same formula = 0 kJ/mol of formula units

=====

No. 5
VASP calculation (PBE-GGA) on a relaxed structure of CaSiSn2O.

Geometry as POSCAR:
```
CaSiSn2O
1.0
5.2503 0.0000 0.0000
0.0000 5.2503 0.0000
0.0000 0.0000 3.8520
Ca Si Sn O
1 1 2 1
direct
0.0000 0.0000 0.0000 Ca
0.5000 0.5000 0.0000 Si
0.0000 0.5000 0.5000 Sn
0.5000 0.0000 0.5000 Sn
0.5000 0.5000 0.5000 O
```

Results
Fermi-level density of states = 0.45 states/eV/atom
total moment = 0.00 μB per cell
symmetry = P4/mmm
energy = -22.4 eV/cell

=====

No. 6
VASP calculation (PBE-GGA) on a relaxed structure of VNi2Mo.

Geometry as POSCAR:
```
VNi2Mo
1.0
0.0000 2.9559 2.9559
2.9559 0.0000 2.9559
2.9559 2.9559 0.0000
V Ni Mo
1 2 1
direct
0.0000 0.0000 0.0000 V
0.2500 0.2500 0.2500 Ni
0.7500 0.7500 0.7500 Ni
0.5000 0.5000 0.5000 Mo
```

Results
Fermi-level density of states = 1.67 states/eV/atom
total moment = 0.03 μB per cell
energy of formation from the pure elements = 156 meV/atom
symmetry = Fm-3m
distance to the lowest polymorph of the same formula = 103 kJ/mol of formula units

=====

No. 7
VASP calculation (PBE-GGA) on a relaxed structure of BeZnNiW2.

Geometry as POSCAR:
```
BeZnNiW2
1.0
4.5661 0.0000 0.0000
0.0000 4.5661 0.0000
0.0000 0.0000 4.1665
Be Zn Ni W
1 1 1 2
direct
0.0000 0.0000 0.0000 Be
0.5000 0.5000 0.5000 Zn
0.5000 0.5000 0.0000 Ni
0.0000 0.5000 0.5000 W
0.5000 0.0000 0.5000 W
```

Results
Fermi-level density of states = 1.61 states/eV/atom
total moment = 0.00 μB per cell
energy of formation from the pure elements = 1982 meV/atom
symmetry = P4/mmm

=====

No. 8
VASP calculation (PBE-GGA) on a relaxed structure of La2Th2Bi2C.

Geometry as POSCAR:
```
La2Th2Bi2C
1.0
-2.4943 2.4943 8.6563
2.4943 -2.4943 8.6563
2.4943 2.4943 -8.6563
La Th Bi C
2 2 2 1
direct
0.1600 0.1600 0.0000 La
0.8400 0.8400 0.0000 La
0.0000 0.5000 0.5000 Th
0.5000 0.0000 0.5000 Th
0.3584 0.3584 0.0000 Bi
0.6416 0.6416 0.0000 Bi
0.0000 0.0000 0.0000 C
```

Results
Fermi-level density of states = 1.17 states/eV/atom
total moment = 0.00 μB per cell
energy of formation from the pure elements = -612 meV/atom
symmetry = I4/mmm

=====

No. 9
VASP calculation (PBE-GGA) on a relaxed structure of AcLaIrS.

Geometry as POSCAR:
```
AcLaIrS
1.0
2.1095 1.2179 7.2894
-2.1095 1.2179 7.2894
0.0000 -2.4358 7.2894
Ac La Ir S
1 1 1 1
direct
0.0000 0.0000 0.0000 Ac
0.4891 0.4891 0.4891 La
0.7484 0.7484 0.7484 Ir
0.2419 0.2419 0.2419 S
```

Results
Fermi-level density of states = 0.56 states/eV/atom
total moment = 0.00 μB per cell
symmetry = R3m
energy = -27.4 eV/cell

=====

No. 10
VASP calculation (PBE-GGA) on a relaxed structure of ZrTaBr2.

Geometry as POSCAR:
```
ZrTaBr2
1.0
3.2035 -3.7794 0.0000
3.2035 3.7794 0.0000
0.0000 0.0000 3.2111
Zr Ta Br
1 1 2
direct
0.0000 0.0000 0.0000 Zr
0.5000 0.5000 0.0000 Ta
0.0000 0.5000 0.5000 Br
0.5000 0.0000 0.5000 Br
```

Results
Fermi-level density of states = 1.17 states/eV/atom
total moment = 0.00 μB per cell
symmetry = Cmmm
distance to the lowest polymorph of the same formula = 394 kJ/mol of formula units

=====

No. 11
VASP calculation (PBE-GGA) on a relaxed structure of Pm2BeAl3Cu12.

Geometry as POSCAR:
```
Pm2BeAl3Cu12
1.0
3.0885 1.7832 8.7691
-3.0885 1.7832 8.7691
0.0000 -3.5663 8.7691
Pm Be Al Cu
2 1 3 12
direct
0.1544 0.1544 0.1544 Pm
0.8456 0.8456 0.8456 Pm
0.5000 0.5000 0.5000 Be
0.0000 0.5000 0.5000 Al
0.5000 0.0000 0.5000 Al
0.5000 0.5000 0.0000 Al
0.0792 0.0792 0.6850 Cu
0.0792 0.6850 0.0792 Cu
0.1605 0.5695 0.5695 Cu
0.3150 0.9208 0.9208 Cu
0.4305 0.4305 0.8395 Cu
0.4305 0.8395 0.4305 Cu
0.5695 0.1605 0.5695 Cu
0.5695 0.5695 0.1605 Cu
0.6850 0.0792 0.0792 Cu
0.8395 0.4305 0.4305 Cu
0.9208 0.3150 0.9208 Cu
0.9208 0.9208 0.3150 Cu
```

Results
Fermi-level density of states = 0.56 states/eV/atom
total moment = 0.00 μB per cell
energy of formation from the pure elements = 91 meV/atom
symmetry = R-3m

=====

No. 12
VASP calculation (PBE-GGA) on a relaxed structure of Co3CuSb.

Geometry as POSCAR:
```
Co3CuSb
1.0
4.3366 0.0000 0.0000
0.0000 4.3366 0.0000
0.0000 0.0000 4.3366
Co Cu Sb
3 1 1
direct
0.0000 0.0000 0.5000 Co
0.0000 0.5000 0.0000 Co
0.5000 0.0000 0.0000 Co
0.0000 0.0000 0.0000 Cu
0.5000 0.5000 0.5000 Sb
```

Results
Fermi-level density of states = 2.92 states/eV/atom
total moment = 4.85 μB per cell
symmetry = Pm-3m
distance to the lowest polymorph of the same formula = 0 kJ/mol of formula units